AlPtN3 after structural relaxation, computed with PBE.

```
data_AlPtN3
_cell_length_a 3.7158
_cell_length_b 3.7158
_cell_length_c 3.7158
_cell_angle_alpha 90.00
_cell_angle_beta 90.00
_cell_angle_gamma 90.00
_symmetry_space_group_name_H-M 'P m -3 m'
_symmetry_Int_Tables_number 221
_symmetry_space_group_name_Hall '-P 4 2 3'
loop_
_atom_site_label
_atom_site_fract_x
_atom_site_fract_y
_atom_site_fract_z
Al1 0.0000 0.0000 0.0000
Pt1 0.5000 0.5000 0.5000
N1 0.0000 0.0000 0.5000
```

Calculated values
**ΔE_f (raw)**: 1.261 eV/atom
**Size of the total moment**: 0.00 μB per cell